! ZnNiOF2 PBE with a Hubbard U relaxed; values from VASP
! Distance to the lowest polymorph of the same formula   0.90 eV/f.u.
&SYSTEM
  ibrav = 0, nat = 5, ntyp = 4
/
ATOMIC_SPECIES
Zn 65.41 Zn.upf
Ni 58.69 Ni.upf
O 16.00 O.upf
F 19.00 F.upf
CELL_PARAMETERS angstrom
3.874 0.000 0.000
0.000 3.874 0.000
0.000 0.000 4.081
ATOMIC_POSITIONS crystal
Zn 0.000 0.000 0.000
Ni 0.500 0.500 0.500
O 0.000 0.000 0.500
F 0.000 0.500 0.000
F 0.500 0.000 0.000